# Na2CdPd (GGA-PBE, relaxed)
# Energy of formation from the pure elements in meV/atom: -144.5
# SG: F-43m (216)
data_Na2CdPd
_cell_length_a 4.902
_cell_length_b 4.902
_cell_length_c 4.905
_cell_angle_alpha 60.02
_cell_angle_beta 60.02
_cell_angle_gamma 60.00
_symmetry_space_group_name_H-M 'P 1'
_symmetry_Int_Tables_number 1
loop_
_symmetry_equiv_pos_as_xyz
'x,y,z'
loop_
_atom_site_label
_atom_site_type_symbol
_atom_site_fract_x
_atom_site_fract_y
_atom_site_fract_z
_atom_site_occupancy
Na1 Na 0.250 0.250 0.250 1
Cd1 Cd 0.500 0.500 0.500 1
Na2 Na 0.000 0.000 0.000 1
Pd1 Pd 0.750 0.750 0.750 1

=====

# NaCd4Pd (GGA-PBE, relaxed)
# Energy of formation from the pure elements in meV/atom: -179.0
# SG: Pmma (51)
# Polymorph energy (0 for the lowest one) in meV/atom: 0
data_NaCd4Pd
_cell_length_a 4.032
_cell_length_b 7.455
_cell_length_c 9.186
_cell_angle_alpha 90.00
_cell_angle_beta 90.00
_cell_angle_gamma 90.00
_symmetry_space_group_name_H-M 'P 1'
_symmetry_Int_Tables_number 1
loop_
_symmetry_equiv_pos_as_xyz
'x,y,z'
loop_
_atom_site_label
_atom_site_type_symbol
_atom_site_fract_x
_atom_site_fract_y
_atom_site_fract_z
_atom_site_occupancy
Cd1 Cd 0.500 0.931 0.750 1
Cd2 Cd 0.000 0.000 0.500 1
Na1 Na 0.000 0.596 0.750 1
Cd3 Cd 0.500 0.684 0.054 1
Cd4 Cd 0.500 0.069 0.250 1
Pd1 Pd 0.000 0.800 0.250 1
Pd2 Pd 0.000 0.200 0.750 1
Cd5 Cd 0.500 0.684 0.446 1
Na2 Na 0.000 0.404 0.250 1
Cd6 Cd 0.000 0.000 0.000 1
Cd7 Cd 0.500 0.316 0.554 1
Cd8 Cd 0.500 0.316 0.946 1

=====

# Na3CdPd (GGA-PBE, relaxed)
# Energy of formation from the pure elements in meV/atom: -62.5
# SG: C2/m (12)
# Polymorph energy (0 for the lowest one) in meV/atom: 63
data_Na3CdPd
_cell_length_a 7.279
_cell_length_b 7.279
_cell_length_c 7.223
_cell_angle_alpha 105.74
_cell_angle_beta 121.44
_cell_angle_gamma 102.31
_symmetry_space_group_name_H-M 'P 1'
_symmetry_Int_Tables_number 1
loop_
_symmetry_equiv_pos_as_xyz
'x,y,z'
loop_
_atom_site_label
_atom_site_type_symbol
_atom_site_fract_x
_atom_site_fract_y
_atom_site_fract_z
_atom_site_occupancy
Na1 Na 0.235 0.984 0.829 1
Na2 Na 0.155 0.405 0.171 1
Cd1 Cd 0.701 0.937 0.638 1
Pd1 Pd 0.380 0.761 0.141 1
Na3 Na 0.845 0.595 0.829 1
Na4 Na 0.726 0.557 0.284 1
Cd2 Cd 0.299 0.063 0.362 1
Na5 Na 0.274 0.443 0.716 1
Pd2 Pd 0.620 0.239 0.859 1
Na6 Na 0.765 0.016 0.171 1

=====

# Na2CdPd (GGA-PBE, relaxed)
# Energy of formation from the pure elements in meV/atom: -113.1
# SG: Cm (8)
data_Na2CdPd
_cell_length_a 3.117
_cell_length_b 5.306
_cell_length_c 6.426
_cell_angle_alpha 65.61
_cell_angle_beta 76.14
_cell_angle_gamma 90.00
_symmetry_space_group_name_H-M 'P 1'
_symmetry_Int_Tables_number 1
loop_
_symmetry_equiv_pos_as_xyz
'x,y,z'
loop_
_atom_site_label
_atom_site_type_symbol
_atom_site_fract_x
_atom_site_fract_y
_atom_site_fract_z
_atom_site_occupancy
Pd1 Pd 0.765 0.053 0.238 1
Na1 Na 0.488 0.275 0.793 1
Cd1 Cd 0.067 0.854 0.635 1
Na2 Na 0.286 0.577 0.190 1

=====

# Na2CdPd2 (GGA-PBE, relaxed)
# Energy of formation from the pure elements in meV/atom: 18.6
# SG: P4/mbm (127)
# Polymorph energy (0 for the lowest one) in meV/atom: 189
data_Na2CdPd2
_cell_length_a 7.971
_cell_length_b 7.971
_cell_length_c 3.018
_cell_angle_alpha 90.00
_cell_angle_beta 90.00
_cell_angle_gamma 90.00
_symmetry_space_group_name_H-M 'P 1'
_symmetry_Int_Tables_number 1
loop_
_symmetry_equiv_pos_as_xyz
'x,y,z'
loop_
_atom_site_label
_atom_site_type_symbol
_atom_site_fract_x
_atom_site_fract_y
_atom_site_fract_z
_atom_site_occupancy
Pd1 Pd 0.684 0.816 0.500 1
Na1 Na 0.381 0.881 0.000 1
Na2 Na 0.619 0.119 0.000 1
Na3 Na 0.119 0.381 0.000 1
Na4 Na 0.881 0.619 0.000 1
Pd2 Pd 0.316 0.184 0.500 1
Pd3 Pd 0.816 0.316 0.500 1
Cd1 Cd 0.000 0.000 0.000 1
Cd2 Cd 0.500 0.500 0.000 1
Pd4 Pd 0.184 0.684 0.500 1

=====

# NaCd2Pd (GGA-PBE, relaxed)
# Energy of formation from the pure elements in meV/atom: -202.7
# SG: Pmma (51)
data_NaCd2Pd
_cell_length_a 3.132
_cell_length_b 4.862
_cell_length_c 11.101
_cell_angle_alpha 90.00
_cell_angle_beta 90.00
_cell_angle_gamma 90.00
_symmetry_space_group_name_H-M 'P 1'
_symmetry_Int_Tables_number 1
loop_
_symmetry_equiv_pos_as_xyz
'x,y,z'
loop_
_atom_site_label
_atom_site_type_symbol
_atom_site_fract_x
_atom_site_fract_y
_atom_site_fract_z
_atom_site_occupancy
Pd1 Pd 0.500 0.750 0.094 1
Cd1 Cd 0.000 0.250 0.696 1
Pd2 Pd 0.500 0.250 0.906 1
Cd2 Cd 0.000 0.250 0.119 1
Na1 Na 0.500 0.250 0.413 1
Cd3 Cd 0.000 0.750 0.304 1
Cd4 Cd 0.000 0.750 0.881 1
Na2 Na 0.500 0.750 0.587 1

=====

# Na2CdPd3 (GGA-PBE, relaxed)
# Energy of formation from the pure elements in meV/atom: -261.9
# SG: C2/m (12)
# Polymorph energy (0 for the lowest one) in meV/atom: 0
data_Na2CdPd3
_cell_length_a 5.510
_cell_length_b 5.510
_cell_length_c 5.502
_cell_angle_alpha 89.98
_cell_angle_beta 120.27
_cell_angle_gamma 119.80
_symmetry_space_group_name_H-M 'P 1'
_symmetry_Int_Tables_number 1
loop_
_symmetry_equiv_pos_as_xyz
'x,y,z'
loop_
_atom_site_label
_atom_site_type_symbol
_atom_site_fract_x
_atom_site_fract_y
_atom_site_fract_z
_atom_site_occupancy
Pd1 Pd 0.500 0.500 0.500 1
Na1 Na 0.761 0.381 0.141 1
Pd2 Pd 0.000 0.000 0.500 1
Na2 Na 0.239 0.619 0.859 1
Cd1 Cd 0.000 0.000 0.000 1
Pd3 Pd 0.500 0.000 0.500 1

=====

# NaCdPd2 (GGA-PBE, relaxed)
# Energy of formation from the pure elements in meV/atom: -235.5
# SG: P4/mmm (123)
data_NaCdPd2
_cell_length_a 3.669
_cell_length_b 4.379
_cell_length_c 4.379
_cell_angle_alpha 90.00
_cell_angle_beta 90.00
_cell_angle_gamma 90.00
_symmetry_space_group_name_H-M 'P 1'
_symmetry_Int_Tables_number 1
loop_
_symmetry_equiv_pos_as_xyz
'x,y,z'
loop_
_atom_site_label
_atom_site_type_symbol
_atom_site_fract_x
_atom_site_fract_y
_atom_site_fract_z
_atom_site_occupancy
Cd1 Cd 0.500 0.000 0.000 1
Pd1 Pd 0.000 0.000 0.500 1
Pd2 Pd 0.000 0.500 0.000 1
Na1 Na 0.500 0.500 0.500 1

=====

# Na3Cd12Pd (GGA-PBE, relaxed)
# Energy of formation from the pure elements in meV/atom: -93.3
# SG: P4/mmm (123)
data_Na3Cd12Pd
_cell_length_a 4.541
_cell_length_b 4.541
_cell_length_c 17.361
_cell_angle_alpha 90.00
_cell_angle_beta 90.00
_cell_angle_gamma 90.00
_symmetry_space_group_name_H-M 'P 1'
_symmetry_Int_Tables_number 1
loop_
_symmetry_equiv_pos_as_xyz
'x,y,z'
loop_
_atom_site_label
_atom_site_type_symbol
_atom_site_fract_x
_atom_site_fract_y
_atom_site_fract_z
_atom_site_occupancy
Cd1 Cd 0.500 0.000 0.631 1
Na1 Na 0.000 0.000 0.239 1
Cd2 Cd 0.000 0.500 0.890 1
Pd1 Pd 0.000 0.000 0.000 1
Cd3 Cd 0.500 0.500 0.000 1
Cd4 Cd 0.500 0.000 0.369 1
Cd5 Cd 0.000 0.500 0.110 1
Cd6 Cd 0.500 0.500 0.500 1
Cd7 Cd 0.500 0.000 0.110 1
Cd8 Cd 0.000 0.500 0.369 1
Cd9 Cd 0.000 0.500 0.631 1
Cd10 Cd 0.500 0.500 0.239 1
Na2 Na 0.000 0.000 0.761 1
Cd11 Cd 0.500 0.000 0.890 1
Na3 Na 0.000 0.000 0.500 1
Cd12 Cd 0.500 0.500 0.761 1

=====

# NaCd5Pd6 (GGA-PBE, relaxed)
# Energy of formation from the pure elements in meV/atom: -355.1
# SG: P2/m (10)
data_NaCd5Pd6
_cell_length_a 4.827
_cell_length_b 6.133
_cell_length_c 7.181
_cell_angle_alpha 90.00
_cell_angle_beta 97.98
_cell_angle_gamma 90.00
_symmetry_space_group_name_H-M 'P 1'
_symmetry_Int_Tables_number 1
loop_
_symmetry_equiv_pos_as_xyz
'x,y,z'
loop_
_atom_site_label
_atom_site_type_symbol
_atom_site_fract_x
_atom_site_fract_y
_atom_site_fract_z
_atom_site_occupancy
Cd1 Cd 0.335 0.000 0.672 1
Cd2 Cd 0.667 0.500 0.331 1
Pd1 Pd 0.830 0.252 0.661 1
Pd2 Pd 0.500 0.255 0.000 1
Pd3 Pd 0.830 0.748 0.661 1
Pd4 Pd 0.500 0.745 0.000 1
Cd3 Cd 0.333 0.500 0.669 1
Pd5 Pd 0.170 0.748 0.339 1
Na1 Na 0.000 0.000 0.000 1
Cd4 Cd 0.665 0.000 0.328 1
Cd5 Cd 0.000 0.500 0.000 1
Pd6 Pd 0.170 0.252 0.339 1

=====

# Na2CdPd (GGA-PBE, relaxed)
# Energy of formation from the pure elements in meV/atom: -109.9
# SG: P4/mmm (123)
data_Na2CdPd
_cell_length_a 4.839
_cell_length_b 4.145
_cell_length_c 4.145
_cell_angle_alpha 90.00
_cell_angle_beta 90.00
_cell_angle_gamma 90.00
_symmetry_space_group_name_H-M 'P 1'
_symmetry_Int_Tables_number 1
loop_
_symmetry_equiv_pos_as_xyz
'x,y,z'
loop_
_atom_site_label
_atom_site_type_symbol
_atom_site_fract_x
_atom_site_fract_y
_atom_site_fract_z
_atom_site_occupancy
Na1 Na 0.000 0.500 0.000 1
Na2 Na 0.000 0.000 0.500 1
Cd1 Cd 0.500 0.000 0.000 1
Pd1 Pd 0.500 0.500 0.500 1

=====

# NaCd12Pd4 (GGA-PBE, relaxed)
# Energy of formation from the pure elements in meV/atom: 0.3
# SG: Im-3 (204)
data_NaCd12Pd4
_cell_length_a 8.260
_cell_length_b 8.260
_cell_length_c 8.260
_cell_angle_alpha 109.47
_cell_angle_beta 109.47
_cell_angle_gamma 109.47
_symmetry_space_group_name_H-M 'P 1'
_symmetry_Int_Tables_number 1
loop_
_symmetry_equiv_pos_as_xyz
'x,y,z'
loop_
_atom_site_label
_atom_site_type_symbol
_atom_site_fract_x
_atom_site_fract_y
_atom_site_fract_z
_atom_site_occupancy
Pd1 Pd 0.500 0.000 0.000 1
Cd1 Cd 0.161 0.344 0.505 1
Cd2 Cd 0.816 0.161 0.656 1
Na1 Na 0.000 0.000 0.000 1
Cd3 Cd 0.184 0.839 0.344 1
Pd2 Pd 0.500 0.500 0.500 1
Cd4 Cd 0.161 0.656 0.816 1
Cd5 Cd 0.505 0.161 0.344 1
Cd6 Cd 0.839 0.344 0.184 1
Cd7 Cd 0.344 0.184 0.839 1
Cd8 Cd 0.495 0.839 0.656 1
Pd3 Pd 0.000 0.500 0.000 1
Cd9 Cd 0.656 0.816 0.161 1
Cd10 Cd 0.344 0.505 0.161 1
Cd11 Cd 0.839 0.656 0.495 1
Cd12 Cd 0.656 0.495 0.839 1
Pd4 Pd 0.000 0.000 0.500 1

=====

Here are the calculated N(E_F) numbers, same order: 2.21; 5.44; 3.88; 0.66; 2.18; 3.24; 2.92; 1.04; 6.34; 2.99; 1.37; 9.23 (states/eV/cell).